1.
Density functional theory data (GGA-PBE) for a relaxed Rb4SrCe3Se8 crystal.

Properties
Formation energy from raw total energies (eV per atom): -1.68
Total magnetic moment (μB/cell): 6.0

Lattice parameters (Å, degrees): 8.8579 8.8579 23.8806 90.00 90.00 120.00
Space group R-3m (No. 166, hexagonal axes)
Unique sites:
Rb 0.0000 0.0000 0.0000
Rb 0.0000 0.5000 0.0000
Sr 0.0000 0.0000 0.5000
Ce 0.0000 0.5000 0.5000
Se 0.0000 0.0000 0.2325
Se 0.0157 0.5078 0.7670

2.
Density functional theory data (GGA-PBE) for a relaxed LiYMn2 crystal.

Properties
Total magnetic moment (μB/cell): 22.2
Energy of formation from the pure elements (eV per atom): 0.568
Energy relative to the lowest polymorph listed for this composition (meV per atom): 322

Lattice parameters (Å, degrees): 3.1640 3.1640 28.1169 90.00 90.00 120.00
Space group R-3m (No. 166, hexagonal axes)
Unique sites:
Li 0.0000 0.0000 0.0000
Y 0.0000 0.0000 0.5000
Mn 0.0000 0.0000 0.2537

3.
Density functional theory data (GGA-PBE) for a relaxed Rb2Bi3Pt2 crystal.

Properties
Total magnetic moment (μB/cell): 0.0
Energy of formation from the pure elements (eV per atom): -0.262

Lattice parameters (Å, degrees): 12.958 4.597 8.737 90.00 119.17 90.00
Space group C2/m (No. 12)
Unique sites:
Rb 0.152 0.000 0.296
Bi 0.000 0.500 0.500
Bi 0.139 0.500 0.940
Pt 0.137 0.000 0.761

4.
Density functional theory data (GGA-PBE) for a relaxed Nd12Y6Tl crystal.

Properties
Total magnetic moment (μB/cell): 0.0
Energy of formation from the pure elements (eV per atom): 0.078

Lattice parameters (Å, degrees): 12.1336 12.1336 15.3408 90.00 90.00 120.00
Space group R-3 (No. 148, hexagonal axes)
Unique sites:
Nd 0.0060 0.8301 0.3122
Nd 0.0471 0.2005 0.9160
Y 0.0235 0.5900 0.1902
Tl 0.0000 0.0000 0.5000

no.,total energy (eV per atom)
1,-4.88
2,-6.11
3,-3.93
4,-5.10